This record from Alexandria describes crystalline SrLi2Gd at its relaxed geometry. The functional is PBE-GGA.

Output
Calculated total energy   -18.93 eV for the cell shown
ΔH_f (0 K)   0.66 eV/f.u.
Polymorph energy (0 for the lowest one)   0.044 eV per atom
N(E_F)   6.42 states/eV/cell

Cell: 5.631 5.631 5.631 Å, 60.00 60.00 60.00°
Atoms (fractional coordinates):
Sr1 0.000 0.000 0.000
Li1 0.250 0.250 0.250
Li2 0.750 0.750 0.750
Gd1 0.500 0.500 0.500

=====

This record from Alexandria describes crystalline NaHgPb2 at its relaxed geometry. The functional is PBE-GGA.

Output
Calculated total energy   -9.40 eV for the cell shown
ΔH_f (0 K)   -0.36 eV/f.u.
N(E_F)   2.27 states/eV/cell

Cell: 4.840 4.840 4.745 Å, 90.00 90.00 90.00°
Atoms (fractional coordinates):
Na1 0.000 0.000 0.000
Hg1 0.500 0.500 0.000
Pb1 0.000 0.500 0.500
Pb2 0.500 0.000 0.500

=====

This record from Alexandria describes crystalline CaBiSb2I at its relaxed geometry. The functional is PBE-GGA.

Output
Calculated total energy   -14.76 eV for the cell shown
Formation energy (no corrections)   0.184 eV per atom
Polymorph energy (0 for the lowest one)   0.000 eV per atom
N(E_F)   3.10 states/eV/cell

Cell: 5.818 5.818 6.119 Å, 90.00 90.00 90.00°
Atoms (fractional coordinates):
Ca1 0.000 0.000 0.000
Bi1 0.500 0.500 0.500
Sb1 0.000 0.500 0.500
Sb2 0.500 0.000 0.500
I1 0.500 0.500 0.000

=====

This record from Alexandria describes crystalline Na2Sr2Tl at its relaxed geometry. The functional is PBE-GGA.

Output
Calculated total energy   -16.20 eV for the cell shown
ΔH_f (0 K)   0.27 eV/f.u.
Polymorph energy (0 for the lowest one)   0.234 eV per atom
N(E_F)   9.44 states/eV/cell

Cell: 9.144 9.144 5.269 Å, 90.00 90.00 90.00°
Atoms (fractional coordinates):
Na1 0.143 0.357 0.000
Na2 0.357 0.857 0.000
Na3 0.643 0.143 0.000
Na4 0.857 0.643 0.000
Sr1 0.162 0.662 0.500
Sr2 0.338 0.162 0.500
Sr3 0.662 0.838 0.500
Sr4 0.838 0.338 0.500
Tl1 0.000 0.000 0.500
Tl2 0.500 0.500 0.500

=====

This record from Alexandria describes crystalline Sc2NiH at its relaxed geometry. The functional is PBE-GGA.

Output
Calculated total energy   -21.39 eV for the cell shown
Polymorph energy (0 for the lowest one)   0.580 eV per atom
N(E_F)   5.00 states/eV/cell

Cell: 7.579 7.579 7.579 Å, 23.44 23.44 23.44°
Atoms (fractional coordinates):
Sc1 0.109 0.109 0.109
Sc2 0.891 0.891 0.891
Ni1 0.000 0.000 0.000
H1 0.500 0.500 0.500

=====

This record from Alexandria describes crystalline SrAg2IrBr8 at its relaxed geometry. The functional is PBE-GGA.

Output
Calculated total energy   -38.27 eV for the cell shown
Formation energy (no corrections)   -0.720 eV per atom
N(E_F)   9.73 states/eV/cell

Cell: 6.908 8.323 7.096 Å, 90.00 110.51 90.00°
Atoms (fractional coordinates):
Sr1 0.000 0.000 0.000
Ag1 0.000 0.243 0.500
Ag2 0.000 0.757 0.500
Ir1 0.000 0.500 0.000
Br1 0.195 0.500 0.767
Br2 0.244 0.293 0.220
Br3 0.244 0.707 0.220
Br4 0.251 0.000 0.720
Br5 0.749 0.000 0.280
Br6 0.756 0.293 0.780
Br7 0.756 0.707 0.780
Br8 0.805 0.500 0.233

=====

This record from Alexandria describes crystalline CsZrCrCl2 at its relaxed geometry. The functional is PBE-GGA.

Output
Calculated total energy   -20.18 eV for the cell shown
Formation energy (no corrections)   0.508 eV per atom
N(E_F)   5.70 states/eV/cell

Cell: 4.998 4.998 6.928 Å, 90.00 90.00 90.00°
Atoms (fractional coordinates):
Cs1 0.000 0.000 0.000
Zr1 0.500 0.500 0.000
Cr1 0.000 0.000 0.500
Cl1 0.000 0.500 0.500
Cl2 0.500 0.000 0.500

=====

This record from Alexandria describes crystalline RbNp2F9 at its relaxed geometry. The functional is PBE-GGA.

Output
Calculated total energy   -82.94 eV for the cell shown
Formation energy (no corrections)   -3.271 eV per atom
N(E_F)   16.09 states/eV/cell

Cell: 7.818 7.818 3.610 Å, 90.00 90.00 120.00°
Atoms (fractional coordinates):
Rb1 0.000 0.000 0.000
Np1 0.333 0.667 0.000
Np2 0.667 0.333 0.000
F1 0.000 0.500 0.000
F2 0.221 0.443 0.500
F3 0.221 0.779 0.500
F4 0.443 0.221 0.500
F5 0.500 0.000 0.000
F6 0.500 0.500 0.000
F7 0.557 0.779 0.500
F8 0.779 0.221 0.500
F9 0.779 0.557 0.500